1.
Compound: SiPt2Au
Source: Alexandria
Functional: SCAN
Structure: single point on PBEsol structure

Output
Total magnetization ... 0.0 Bohr magnetons per cell
E_form (uncorrected) ... -32 kJ/mol of formula units
DOS(E_F) ... 0.62 states/eV/atom

a b c (Å): 3.788 3.979 3.979
angles (deg): 90.00 90.00 90.00
Element x y z (fractional)
Pt 0.000 0.000 0.500
Pt 0.000 0.500 0.000
Au 0.500 0.000 0.000
Si 0.500 0.500 0.500



2.
Compound: MnNiCl2
Source: Alexandria
Functional: SCAN
Structure: single point on PBEsol structure

Output
Total magnetization ... 5.0 Bohr magnetons per cell
Relative energy among the computed polymorphs ... 415 meV/atom
E_form (uncorrected) ... -48 kJ/mol of formula units
DOS(E_F) ... 0.10 states/eV/atom

a b c (Å): 4.350 4.350 4.350
angles (deg): 60.00 60.00 60.00
Site moments in Bohr magnetons follow the coordinates.
Element x y z (fractional)
Mn 0.500 0.500 0.500  4.21
Cl 0.250 0.250 0.250  0.09
Cl 0.750 0.750 0.750  0.09
Ni 0.000 0.000 0.000  0.56



3.
Compound: YWSe2
Source: Alexandria
Functional: SCAN
Structure: single point on PBEsol structure

Output
Total magnetization ... 1.0 Bohr magnetons per cell
Relative energy among the computed polymorphs ... 96 meV/atom
E_form (uncorrected) ... -143 kJ/mol of formula units
DOS(E_F) ... 0.82 states/eV/atom

a b c (Å): 4.667 4.667 4.667
angles (deg): 60.00 60.00 60.00
Site moments in Bohr magnetons follow the coordinates.
Element x y z (fractional)
Se 0.750 0.750 0.750  -0.02
W 0.000 0.000 0.000  0.65
Y 0.500 0.500 0.500  0.14
Se 0.250 0.250 0.250  -0.02



4.
Compound: Ti3SnHg
Source: Alexandria
Functional: SCAN
Structure: single point on PBEsol structure

Output
Calculated formation energy ... 19.87 kcal/mol of atoms
Total magnetization ... 1.7 Bohr magnetons per cell
DOS(E_F) ... 0.91 states/eV/atom

a b c (Å): 4.938 4.938 4.938
angles (deg): 90.00 90.00 90.00
Site moments in Bohr magnetons follow the coordinates.
Element x y z (fractional)
Ti 0.500 0.000 0.000  0.49
Ti 0.000 0.000 0.500  0.49
Sn 0.000 0.000 0.000  0.00
Hg 0.500 0.500 0.500  -0.04
Ti 0.000 0.500 0.000  0.49